Sr3Nb2VO9 | the Alexandria database | PBE+U | relaxed; energy = -7.896 eV per atom; space-group type = No. 164; spin magnetization = 3.01 Bohr magnetons per cell
1.0
5.7472 0.0000 0.0000
-2.8736 4.9772 0.0000
0.0000 0.0000 7.0612
Sr Nb V O
3 2 1 9
Cartesian
0.0000 0.0000 0.0000 Sr
0.0000 3.3182 4.7084 Sr
2.8736 1.6591 2.3528 Sr
0.0000 3.3182 1.2578 Nb
2.8736 1.6591 5.8034 Nb
0.0000 0.0000 3.5306 V
-1.4368 2.4886 0.0000 O
0.0000 1.6797 2.3201 O
-1.4189 4.1374 2.3201 O
1.4547 0.8398 4.7411 O
2.8736 0.0000 0.0000 O
1.4368 2.4886 0.0000 O
1.4190 4.1374 2.3201 O
4.2926 0.8398 4.7411 O
2.8736 3.2975 4.7411 O